1.
A relaxed KSb2Ir crystal, computed with PBE.

Properties
The value obtained for the total magnetic moment is 0.000 μB per cell. Its symmetry is No. 44. Its formation energy without anion corrections is -0.124 eV per atom.

a = 9.416 Å, b = 9.416 Å, c = 9.416 Å
α = 160.18°, β = 157.95°, γ = 29.82°
Atoms (fractional coordinates):
1 K 0.000 0.000 0.000
2 Sb 0.172 0.672 0.500
3 Sb 0.355 0.355 0.000
4 Ir 0.748 0.248 0.500


2.
A relaxed K2SbIr crystal, computed with PBE.

Properties
The value obtained for the total magnetic moment is 0.043 μB per cell. Its symmetry is No. 47. Its formation energy without anion corrections is 0.404 eV per atom.

a = 3.345 Å, b = 5.439 Å, c = 5.602 Å
α = 90.00°, β = 90.00°, γ = 90.00°
Atoms (fractional coordinates):
1 K 0.000 0.000 0.243
2 K 0.000 0.000 0.757
3 Sb 0.500 0.500 0.500
4 Ir 0.500 0.500 0.000


3.
A relaxed KSb2Ir crystal, computed with PBE.

Properties
The value obtained for the total magnetic moment is 0.000 μB per cell. Its symmetry is No. 8. Its formation energy without anion corrections is 0.016 eV per atom.

a = 5.995 Å, b = 5.995 Å, c = 6.695 Å
α = 112.75°, β = 112.75°, γ = 36.08°
Atoms (fractional coordinates):
1 K 0.000 0.000 0.000
2 Sb 0.581 0.581 0.530
3 Sb 0.823 0.823 0.383
4 Ir 0.254 0.254 0.588


4.
A relaxed KSb2Ir crystal, computed with PBE.

Properties
The value obtained for the total magnetic moment is 0.000 μB per cell. Its symmetry is No. 12. Its formation energy without anion corrections is -0.288 eV per atom.

a = 4.330 Å, b = 4.330 Å, c = 7.518 Å
α = 106.58°, β = 106.58°, γ = 59.84°
Atoms (fractional coordinates):
1 K 0.000 0.000 0.000
2 Sb 0.215 0.215 0.647
3 Sb 0.785 0.785 0.353
4 Ir 0.500 0.500 0.500


5.
A relaxed KSbIr crystal, computed with PBE.

Properties
The value obtained for the total magnetic moment is 0.000 μB per cell. Its symmetry is No. 187. Its formation energy without anion corrections is -0.012 eV per atom.

a = 4.405 Å, b = 4.405 Å, c = 5.494 Å
α = 90.00°, β = 90.00°, γ = 120.00°
Atoms (fractional coordinates):
1 K 0.000 0.000 0.000
2 Sb 0.667 0.333 0.500
3 Ir 0.333 0.667 0.500


6.
A relaxed KSb2Ir crystal, computed with PBE.

Properties
The value obtained for the total magnetic moment is 0.000 μB per cell. Its symmetry is No. 47. Its formation energy without anion corrections is -0.101 eV per atom.

a = 3.245 Å, b = 3.557 Å, c = 8.588 Å
α = 90.00°, β = 90.00°, γ = 90.00°
Atoms (fractional coordinates):
1 K 0.000 0.000 0.000
2 Sb 0.500 0.500 0.319
3 Sb 0.500 0.500 0.681
4 Ir 0.000 0.000 0.500


7.
A relaxed K2SbIr crystal, computed with PBE.

Properties
The value obtained for the total magnetic moment is 0.000 μB per cell. Its symmetry is No. 139. Its formation energy without anion corrections is 0.361 eV per atom.

a = 6.264 Å, b = 6.264 Å, c = 6.264 Å
α = 140.71°, β = 140.71°, γ = 56.77°
Atoms (fractional coordinates):
1 K 0.250 0.750 0.500
2 K 0.750 0.250 0.500
3 Sb 0.000 0.000 0.000
4 Ir 0.500 0.500 0.000


8.
A relaxed KSb2Ir crystal, computed with PBE.

Properties
The value obtained for the total magnetic moment is 0.000 μB per cell. Its symmetry is No. 12. Its formation energy without anion corrections is 0.477 eV per atom.

a = 5.501 Å, b = 5.501 Å, c = 3.255 Å
α = 90.49°, β = 90.49°, γ = 110.16°
Atoms (fractional coordinates):
1 K 0.000 0.000 0.000
2 Sb 0.000 0.500 0.500
3 Sb 0.500 0.000 0.500
4 Ir 0.500 0.500 0.000